Entry 1:
Entry from Alexandria: a relaxed structure of LaFe2Co (PBE).

Calculated values
The calculation puts the magnetization at 5.40 μB per formula unit. For the density of states at the Fermi level, the calculation gives 0.7132 states/eV/atom. The value obtained for the formation energy is 0.434 eV per atom. The calculation puts the energy at -6.8056 eV per atom.

a b c (Å): 4.469 4.469 4.469
angles (deg): 60.00 60.00 60.00
Sites, in units of the cell vectors:
La 0.500 0.500 0.500
Co 0.000 0.000 0.000
Fe 0.750 0.750 0.750
Fe 0.250 0.250 0.250

Entry 2:
Entry from Alexandria: a relaxed structure of LaFe2Co (PBE).

Calculated values
The calculation puts the magnetization at 6.13 μB per formula unit. For the density of states at the Fermi level, the calculation gives 0.9593 states/eV/atom. The value obtained for the formation energy is 0.374 eV per atom. The calculation puts the energy at -6.8658 eV per atom.

a b c (Å): 5.415 5.415 5.415
angles (deg): 145.99 131.47 60.59
Sites, in units of the cell vectors:
Fe 0.976 0.976 0.000
Fe 0.524 0.524 0.000
La 0.250 0.750 0.500
Co 0.750 0.250 0.500

Entry 3:
Entry from Alexandria: a relaxed structure of LaFeCo (PBE).

Calculated values
The calculation puts the magnetization at 3.67 μB per formula unit. For the density of states at the Fermi level, the calculation gives 1.3312 states/eV/atom. The value obtained for the formation energy is 0.402 eV per atom. The calculation puts the energy at -6.4295 eV per atom.

a b c (Å): 4.463 4.463 4.463
angles (deg): 60.00 60.00 60.00
Sites, in units of the cell vectors:
Fe 0.000 0.000 0.000
Co 0.750 0.750 0.750
La 0.500 0.500 0.500

Entry 4:
Entry from Alexandria: a relaxed structure of LaFe2Co (PBE).

Calculated values
The calculation puts the magnetization at 5.33 μB per formula unit. For the density of states at the Fermi level, the calculation gives 1.1550 states/eV/atom. The value obtained for the formation energy is 0.391 eV per atom. The calculation puts the energy at -6.8491 eV per atom.

a b c (Å): 4.494 4.494 4.494
angles (deg): 120.04 120.04 89.94
Sites, in units of the cell vectors:
Fe 0.250 0.750 0.500
La 0.500 0.500 0.000
Fe 0.000 0.000 0.000
Co 0.750 0.250 0.500

Entry 5:
Entry from Alexandria: a relaxed structure of LaFe2Co (PBE).

Calculated values
The calculation puts the magnetization at 6.68 μB per formula unit. For the density of states at the Fermi level, the calculation gives 1.1105 states/eV/atom. The value obtained for the formation energy is 0.264 eV per atom. The calculation puts the energy at -6.9755 eV per atom.

a b c (Å): 3.089 3.089 6.973
angles (deg): 90.00 90.00 90.00
Sites, in units of the cell vectors:
Fe 0.000 0.000 0.579
La 0.500 0.500 0.250
Fe 0.000 0.000 0.921
Co 0.500 0.500 0.750

Entry 6:
Entry from Alexandria: a relaxed structure of La2FeCo2 (PBE).

Calculated values
The calculation puts the magnetization at 0.59 μB per formula unit. For the density of states at the Fermi level, the calculation gives 1.7582 states/eV/atom. The value obtained for the formation energy is 0.256 eV per atom. The calculation puts the energy at -6.2499 eV per atom.

a b c (Å): 6.599 6.599 4.343
angles (deg): 90.00 90.00 90.00
Sites, in units of the cell vectors:
Fe 0.000 0.000 0.000
Co 0.629 0.129 0.000
Co 0.371 0.871 0.000
Co 0.129 0.371 0.000
La 0.686 0.814 0.500
La 0.814 0.314 0.500
La 0.186 0.686 0.500
Co 0.871 0.629 0.000
Fe 0.500 0.500 0.000
La 0.314 0.186 0.500

Entry 7:
Entry from Alexandria: a relaxed structure of LaMgFe2Co (PBE).

Calculated values
The calculation puts the magnetization at 4.88 μB per formula unit. For the density of states at the Fermi level, the calculation gives 1.8916 states/eV/atom. The value obtained for the formation energy is 1.565 eV per atom. The calculation puts the energy at -4.5461 eV per atom.

a b c (Å): 4.460 5.636 4.460
angles (deg): 90.00 90.00 90.00
Sites, in units of the cell vectors:
Mg 0.000 0.000 0.000
Fe 0.000 0.000 0.500
La 0.000 0.500 0.000
Co 0.500 0.500 0.500
Fe 0.500 0.000 0.000

Entry 8:
Entry from Alexandria: a relaxed structure of La6Mg2FeCo (PBE).

Calculated values
The calculation puts the magnetization at 0.00 μB per formula unit. For the density of states at the Fermi level, the calculation gives 1.1644 states/eV/atom. The value obtained for the formation energy is -0.056 eV per atom. The calculation puts the energy at -4.8880 eV per atom.

a b c (Å): 7.632 7.632 7.622
angles (deg): 120.30 120.30 89.66
Sites, in units of the cell vectors:
Co 0.000 0.003 0.994
La 0.253 0.254 0.999
La 0.746 0.747 0.493
Mg 0.750 0.251 0.498
Fe 0.502 0.494 0.024
La 0.252 0.253 0.500
La 0.749 0.252 0.999
Mg 0.250 0.751 0.498
La 0.747 0.749 0.996
La 0.251 0.750 0.997

Entry 9:
Entry from Alexandria: a relaxed structure of NaLa2FeCo (PBE).

Calculated values
The calculation puts the magnetization at 1.43 μB per formula unit. For the density of states at the Fermi level, the calculation gives 1.0312 states/eV/atom. The value obtained for the formation energy is 0.655 eV per atom. The calculation puts the energy at -4.6934 eV per atom.

a b c (Å): 5.052 5.234 5.052
angles (deg): 90.00 90.00 90.00
Sites, in units of the cell vectors:
Fe 0.000 0.000 0.000
La 0.500 0.000 0.000
Na 0.000 0.500 0.000
Co 0.500 0.500 0.500
La 0.000 0.000 0.500

Entry 10:
Entry from Alexandria: a relaxed structure of NaLaFeCo2 (PBE).

Calculated values
The calculation puts the magnetization at 2.71 μB per formula unit. For the density of states at the Fermi level, the calculation gives 1.2109 states/eV/atom. The value obtained for the formation energy is 1.448 eV per atom. The calculation puts the energy at -4.3363 eV per atom.

a b c (Å): 4.703 4.901 4.703
angles (deg): 90.00 90.00 90.00
Sites, in units of the cell vectors:
Na 0.500 0.500 0.500
Co 0.000 0.000 0.500
La 0.000 0.000 0.000
Fe 0.000 0.500 0.000
Co 0.500 0.000 0.000

What is the magnetization in the second record?
6.13 μB per formula unit

Copy entry 6 word for word.
Entry from Alexandria: a relaxed structure of La2FeCo2 (PBE).

Calculated values
The calculation puts the magnetization at 0.59 μB per formula unit. For the density of states at the Fermi level, the calculation gives 1.7582 states/eV/atom. The value obtained for the formation energy is 0.256 eV per atom. The calculation puts the energy at -6.2499 eV per atom.

a b c (Å): 6.599 6.599 4.343
angles (deg): 90.00 90.00 90.00
Sites, in units of the cell vectors:
Fe 0.000 0.000 0.000
Co 0.629 0.129 0.000
Co 0.371 0.871 0.000
Co 0.129 0.371 0.000
La 0.686 0.814 0.500
La 0.814 0.314 0.500
La 0.186 0.686 0.500
Co 0.871 0.629 0.000
Fe 0.500 0.500 0.000
La 0.314 0.186 0.500

Number 5 is which compound?
LaFe2Co

Copy entry 10 word for word.
Entry from Alexandria: a relaxed structure of NaLaFeCo2 (PBE).

Calculated values
The calculation puts the magnetization at 2.71 μB per formula unit. For the density of states at the Fermi level, the calculation gives 1.2109 states/eV/atom. The value obtained for the formation energy is 1.448 eV per atom. The calculation puts the energy at -4.3363 eV per atom.

a b c (Å): 4.703 4.901 4.703
angles (deg): 90.00 90.00 90.00
Sites, in units of the cell vectors:
Na 0.500 0.500 0.500
Co 0.000 0.000 0.500
La 0.000 0.000 0.000
Fe 0.000 0.500 0.000
Co 0.500 0.000 0.000